# NdSm6Dy2

Crystalline NdSm6Dy2 at its relaxed geometry (PBE, Alexandria via LeMat-Bulk).

abc: 13.086 7.556 6.165
angles: 90.00 90.00 90.00
Space group C2/m (No. 12)
One atom of each set of equivalent atoms:
Nd (0.000, 0.000, 0.000) x2
Sm (0.094, 0.282, 0.291) x8
Sm (0.188, 0.000, 0.710) x4
Dy (0.166, 0.500, 0.784) x4

Calculated values
ΔE_f ... 0.203 eV/atom
M_tot ... 0.10 μB/atom
Polymorph energy (0 for the lowest one) ... 0.37 kcal/mol of atoms